Zr3FeO | PBE+U | relaxed

```
Zr3FeO
1.0
4.464 0.000 0.000
0.000 4.464 0.000
0.000 0.000 4.464
Zr Fe O
3 1 1
Direct
0.000 0.000 0.500
0.000 0.500 0.000
0.500 0.000 0.000
0.500 0.500 0.500
0.000 0.000 0.000
```

Calculated values
Magnetic moment ... 3.08 μB/cell
E_tot ... -8.032 eV per atom
V ... 88.9 Å³/cell